Entry 1:
{"formula": "BaErAs2", "functional": "PBE", "state": "relaxed", "lattice_angstrom": [[4.3623, 0.0000, 0.0000], [2.1811, 3.7778, 0.0000], [2.1811, 1.2593, 7.3257]], "species": ["Ba", "As", "As", "Er"], "frac_coords": [[0.5000, 0.5000, 0.5000], [0.7342, 0.7342, 0.7973], [0.2658, 0.2658, 0.2027], [0.0000, 0.0000, 0.0000]], "delta_e_f_ev_per_atom": -1.1220, "e_tot_ev_per_atom": -5.07}

---

Entry 2:
{"formula": "Ba2ErAs2", "functional": "PBE", "state": "relaxed", "lattice_angstrom": [[6.3054, 0.0000, -2.7112], [-1.4971, 6.8951, -3.4817], [-0.1377, -0.2937, 8.3676]], "species": ["Er", "Er", "As", "As", "As", "As", "Ba", "Ba", "Ba", "Ba"], "frac_coords": [[0.7500, 0.5000, 0.0000], [0.2500, 0.5000, 0.0000], [0.6046, 0.3783, 0.2092], [0.8954, 0.1691, 0.7908], [0.1046, 0.8309, 0.2092], [0.3954, 0.6217, 0.7908], [0.3510, 0.9961, 0.7020], [0.6490, 0.0039, 0.2980], [0.1490, 0.2941, 0.2980], [0.8510, 0.7059, 0.7020]], "delta_e_f_ev_per_atom": -1.0484, "e_tot_ev_per_atom": -4.59}

---

Entry 3:
{"formula": "Ba2ErAs2O6", "functional": "PBE", "state": "relaxed", "lattice_angstrom": [[5.6507, 0.0000, 0.0000], [-2.8254, 6.7317, 0.2738], [0.0000, -3.6360, 5.4121]], "species": ["O", "O", "O", "O", "O", "O", "Er", "As", "As", "Ba", "Ba"], "frac_coords": [[0.6702, 0.3404, 0.5353], [0.3194, 0.1642, 0.8195], [0.1552, 0.8358, 0.1805], [0.8448, 0.1642, 0.8195], [0.6806, 0.8358, 0.1805], [0.3298, 0.6596, 0.4647], [0.5000, 0.0000, 0.5000], [0.9911, 0.9823, 0.7893], [0.0089, 0.0177, 0.2107], [0.2656, 0.5311, 0.7632], [0.7344, 0.4689, 0.2368]], "raw_formation_energy_mev_per_atom": -2176, "e_tot_ev_per_atom": -6.49}

---

Entry 4:
{"formula": "BaEr3As4O12", "functional": "PBE", "state": "relaxed", "lattice_angstrom": [[7.1814, -0.0379, -0.0527], [-1.7671, 6.9607, -0.0527], [-1.7671, -2.2595, 6.5840]], "species": ["O", "O", "O", "O", "O", "O", "O", "O", "O", "O", "O", "O", "Er", "Er", "Er", "As", "As", "As", "As", "Ba"], "frac_coords": [[0.3675, 0.0136, 0.2581], [0.5000, 0.0665, 0.9335], [0.9864, 0.6325, 0.7419], [0.0136, 0.2581, 0.3675], [0.6325, 0.7419, 0.9864], [0.2581, 0.3675, 0.0136], [0.9335, 0.5000, 0.0665], [0.5000, 0.3295, 0.6705], [0.3295, 0.6705, 0.5000], [0.6705, 0.5000, 0.3295], [0.0665, 0.9335, 0.5000], [0.7419, 0.9864, 0.6325], [0.0000, 0.5722, 0.4278], [0.5722, 0.4278, 0.0000], [0.4278, 0.0000, 0.5722], [0.5000, 0.5000, 0.5000], [0.9091, 0.0909, 0.5000], [0.5000, 0.9091, 0.0909], [0.0909, 0.5000, 0.9091], [0.0000, 0.0000, 0.0000]], "raw_formation_energy_mev_per_atom": -1997, "e_tot_ev_per_atom": -6.68}

---

Entry 5:
{"formula": "BaErAs2O8", "functional": "PBE", "state": "relaxed", "lattice_angstrom": [[-5.6078, 0.3572, 0.8628], [2.1745, -4.4807, -2.7412], [0.7964, -3.7232, 6.7176]], "species": ["O", "O", "O", "O", "O", "O", "O", "O", "Er", "Ba", "As", "As"], "frac_coords": [[0.1638, 0.3362, 0.6907], [0.3362, 0.1725, 0.3093], [0.1725, 0.8362, 0.6907], [0.6638, 0.8275, 0.6907], [0.8275, 0.1638, 0.3093], [0.3333, 0.6667, 0.9819], [0.6667, 0.3333, 0.0181], [0.8362, 0.6638, 0.3093], [0.0000, 0.0000, 0.5000], [0.0000, 0.0000, 0.0000], [0.3333, 0.6667, 0.7587], [0.6667, 0.3333, 0.2413]], "raw_formation_energy_mev_per_atom": -2013, "e_tot_ev_per_atom": -6.63}

---

Entry 6:
{"formula": "Ba3Er2PaAs6", "functional": "PBE", "state": "relaxed", "lattice_angstrom": [[7.4979, -0.0027, -0.0003], [-3.7495, 6.4930, -0.0003], [-1.2506, -2.1654, 7.4485]], "species": ["Ba", "Ba", "Ba", "Er", "Er", "As", "As", "As", "As", "As", "As", "Pa"], "frac_coords": [[0.5000, 0.5000, 0.5000], [0.1692, 0.8308, 0.5000], [0.8308, 0.1692, 0.5000], [0.3337, 0.6663, 0.0000], [0.6663, 0.3337, 0.0000], [0.7421, 0.7421, 0.2054], [0.0678, 0.3947, 0.2037], [0.3947, 0.0678, 0.2037], [0.9322, 0.6053, 0.7963], [0.2579, 0.2579, 0.7946], [0.6053, 0.9322, 0.7963], [0.0000, 0.0000, 0.0000]], "delta_e_f_ev_per_atom": -1.1885, "e_tot_ev_per_atom": -5.55}